VASP calculation (PBE) on a geometry-optimized LuBe4Nb structure. Values from VASP.

The structure in Quantum ESPRESSO input format:
```
&SYSTEM
  ibrav = 0, nat = 6, ntyp = 3
/
ATOMIC_SPECIES
Nb 92.91 Nb.upf
Be 9.01 Be.upf
Lu 174.97 Lu.upf
ATOMIC_POSITIONS crystal
Nb 0.0000 0.0000 0.0000
Be 0.6282 0.6282 0.6282
Lu 0.2500 0.2500 0.2500
Be 0.6282 0.1153 0.6282
Be 0.1153 0.6282 0.6282
Be 0.6282 0.6282 0.1153
CELL_PARAMETERS angstrom
4.7632 0.0000 0.0000
2.3816 4.1250 0.0000
2.3816 1.3750 3.8891
```

Summary:
E_form (eV per formula unit): 0.1